A plane-wave DFT calculation with GGA-PBEsol was carried out for a geometry-optimized NbI2NCl structure.

Structure (POSCAR):
```
NbI2NCl
1.0
-2.612 -1.777 1.237
3.116 -1.240 4.796
-2.060 4.828 2.587
I Nb N Cl
2 1 1 1
direct
0.000 0.000 0.500
0.000 0.500 0.000
0.500 0.500 0.500
0.500 0.000 0.000
0.000 0.000 0.000
```

As for the raw formation energy: 1.488 eV per atom. The total magnetization comes out at 2.2 Bohr magnetons per cell.